1.
This record from Alexandria via LeMat-Bulk describes TbSm2Ti after structural relaxation. The functional is PBE-GGA.

Cell and atoms, written as POSCAR:
```
TbSm2Ti
1.0
3.463 0.000 0.000
0.000 3.463 0.000
0.000 0.000 9.522
Tb Sm Ti
1 2 1
direct
0.500 0.500 0.500
0.000 0.000 0.779
0.000 0.000 0.221
0.500 0.500 0.000
```

Results
SG = P4/mmm (123)
formation energy from the elements = 0.187 eV per atom
DOS(E_F) = 6.1 states/eV per cell

---

2.
This record from Alexandria via LeMat-Bulk describes Tb2SmTi after structural relaxation. The functional is PBE-GGA.

Cell and atoms, written as POSCAR:
```
Tb2SmTi
1.0
-1.891 -2.776 0.605
0.727 -1.176 -3.120
7.806 -4.549 3.534
Tb Sm Ti
2 1 1
direct
0.000 0.000 0.784
0.000 0.000 0.216
0.500 0.500 0.500
0.500 0.500 0.000
```

Results
SG = P4/mmm (123)
formation energy from the elements = 0.168 eV per atom
DOS(E_F) = 6.5 states/eV per cell

---

3.
This record from Alexandria via LeMat-Bulk describes Tb2SmTi after structural relaxation. The functional is PBE-GGA.

Cell and atoms, written as POSCAR:
```
Tb2SmTi
1.0
-1.297 -2.976 -0.916
2.038 -2.632 -0.546
-0.700 -4.961 10.895
Tb Sm Ti
2 1 1
direct
0.083 0.083 0.751
0.917 0.917 0.249
0.500 0.500 0.500
0.000 0.000 0.000
```

Results
SG = R-3m (166)
formation energy from the elements = 0.433 eV per atom
DOS(E_F) = 5.7 states/eV per cell

---

4.
This record from Alexandria via LeMat-Bulk describes TbSm4Tl after structural relaxation. The functional is PBE-GGA.

Cell and atoms, written as POSCAR:
```
TbSm4Tl
1.0
3.645 0.000 0.000
0.000 3.645 0.000
0.000 0.000 14.497
Tb Sm Tl
1 4 1
direct
0.000 0.000 0.000
0.500 0.500 0.175
0.000 0.000 0.649
0.000 0.000 0.351
0.500 0.500 0.825
0.500 0.500 0.500
```

Results
SG = P4/mmm (123)
formation energy from the elements = -0.102 eV per atom
DOS(E_F) = 8.2 states/eV per cell